Here is a geometry-optimized Nd5SmSn4 structure from Alexandria. Energies are from PBE.

```
data_Nd5SmSn4
_cell_length_a 16.574
_cell_length_b 5.469
_cell_length_c 7.300
_cell_angle_alpha 90.00
_cell_angle_beta 90.26
_cell_angle_gamma 90.00
_symmetry_space_group_name_H-M 'C 1 2/m 1'
_symmetry_Int_Tables_number 12
loop_
_symmetry_equiv_pos_as_xyz
'x,y,z'
'-x,-y,-z'
'-x,y,-z'
'x,-y,z'
'x+1/2,y+1/2,z'
'-x+1/2,-y+1/2,-z'
'-x+1/2,y+1/2,-z'
'x+1/2,-y+1/2,z'
loop_
_atom_site_label
_atom_site_type_symbol
_atom_site_fract_x
_atom_site_fract_y
_atom_site_fract_z
Nd1 Nd 0.000 0.000 0.000
Nd2 Nd 0.166 0.500 0.994
Nd3 Nd 0.167 0.500 0.507
Sm1 Sm 0.000 0.000 0.500
Sn1 Sn 0.008 0.500 0.253
Sn2 Sn 0.175 0.000 0.750
```

Output
The total magnetic moment is 0.0 μB per cell. The total energy comes out at -100.37 eV per cell. Its calculated formation energy is -5.62 eV/f.u.

Here is a geometry-optimized Nd5SmSn5 structure from Alexandria. Energies are from PBE.

```
data_Nd5SmSn5
_cell_length_a 14.509
_cell_length_b 6.351
_cell_length_c 8.725
_cell_angle_alpha 90.00
_cell_angle_beta 107.53
_cell_angle_gamma 90.00
_symmetry_space_group_name_H-M 'C 1 2/m 1'
_symmetry_Int_Tables_number 12
loop_
_symmetry_equiv_pos_as_xyz
'x,y,z'
'-x,-y,-z'
'-x,y,-z'
'x,-y,z'
'x+1/2,y+1/2,z'
'-x+1/2,-y+1/2,-z'
'-x+1/2,y+1/2,-z'
'x+1/2,-y+1/2,z'
loop_
_atom_site_label
_atom_site_type_symbol
_atom_site_fract_x
_atom_site_fract_y
_atom_site_fract_z
Nd1 Nd 0.000 0.000 0.000
Nd2 Nd 0.168 0.500 0.335
Nd3 Nd 0.168 0.500 0.833
Sm1 Sm 0.000 0.000 0.500
Sn1 Sn 0.000 0.500 0.500
Sn2 Sn 0.163 0.000 0.330
Sn3 Sn 0.164 0.000 0.834
```

Output
The total magnetic moment is 1.0 μB per cell. The total energy comes out at -107.83 eV per cell. Its calculated formation energy is -5.34 eV/f.u.

Here is a geometry-optimized Nd5SmSn3 structure from Alexandria. Energies are from PBE.

```
data_Nd5SmSn3
_cell_length_a 9.6412
_cell_length_b 9.6412
_cell_length_c 6.7679
_cell_angle_alpha 90.00
_cell_angle_beta 90.00
_cell_angle_gamma 120.00
_symmetry_space_group_name_H-M 'P 63/m c m'
_symmetry_Int_Tables_number 193
_symmetry_space_group_name_Hall '-P 6c 2'
loop_
_atom_site_label
_atom_site_type_symbol
_atom_site_fract_x
_atom_site_fract_y
_atom_site_fract_z
Nd1 Nd 0.0000 0.3334 0.2500
Nd2 Nd 0.3333 0.6667 0.0000
Sm1 Sm 0.0000 0.0000 0.0000
Sn1 Sn 0.0000 0.3322 0.7500
```

Output
The total magnetic moment is 5.5 μB per cell. The total energy comes out at -91.44 eV per cell. Its calculated formation energy is -5.16 eV/f.u.

Repeat the second record exactly.
Here is a geometry-optimized Nd5SmSn5 structure from Alexandria. Energies are from PBE.

```
data_Nd5SmSn5
_cell_length_a 14.509
_cell_length_b 6.351
_cell_length_c 8.725
_cell_angle_alpha 90.00
_cell_angle_beta 107.53
_cell_angle_gamma 90.00
_symmetry_space_group_name_H-M 'C 1 2/m 1'
_symmetry_Int_Tables_number 12
loop_
_symmetry_equiv_pos_as_xyz
'x,y,z'
'-x,-y,-z'
'-x,y,-z'
'x,-y,z'
'x+1/2,y+1/2,z'
'-x+1/2,-y+1/2,-z'
'-x+1/2,y+1/2,-z'
'x+1/2,-y+1/2,z'
loop_
_atom_site_label
_atom_site_type_symbol
_atom_site_fract_x
_atom_site_fract_y
_atom_site_fract_z
Nd1 Nd 0.000 0.000 0.000
Nd2 Nd 0.168 0.500 0.335
Nd3 Nd 0.168 0.500 0.833
Sm1 Sm 0.000 0.000 0.500
Sn1 Sn 0.000 0.500 0.500
Sn2 Sn 0.163 0.000 0.330
Sn3 Sn 0.164 0.000 0.834
```

Output
The total magnetic moment is 1.0 μB per cell. The total energy comes out at -107.83 eV per cell. Its calculated formation energy is -5.34 eV/f.u.

Copy entry 2 word for word.
Here is a geometry-optimized Nd5SmSn5 structure from Alexandria. Energies are from PBE.

```
data_Nd5SmSn5
_cell_length_a 14.509
_cell_length_b 6.351
_cell_length_c 8.725
_cell_angle_alpha 90.00
_cell_angle_beta 107.53
_cell_angle_gamma 90.00
_symmetry_space_group_name_H-M 'C 1 2/m 1'
_symmetry_Int_Tables_number 12
loop_
_symmetry_equiv_pos_as_xyz
'x,y,z'
'-x,-y,-z'
'-x,y,-z'
'x,-y,z'
'x+1/2,y+1/2,z'
'-x+1/2,-y+1/2,-z'
'-x+1/2,y+1/2,-z'
'x+1/2,-y+1/2,z'
loop_
_atom_site_label
_atom_site_type_symbol
_atom_site_fract_x
_atom_site_fract_y
_atom_site_fract_z
Nd1 Nd 0.000 0.000 0.000
Nd2 Nd 0.168 0.500 0.335
Nd3 Nd 0.168 0.500 0.833
Sm1 Sm 0.000 0.000 0.500
Sn1 Sn 0.000 0.500 0.500
Sn2 Sn 0.163 0.000 0.330
Sn3 Sn 0.164 0.000 0.834
```

Output
The total magnetic moment is 1.0 μB per cell. The total energy comes out at -107.83 eV per cell. Its calculated formation energy is -5.34 eV/f.u.